# 1
Material: Pa2TcMo
Method: DFT, PBE
State: relaxed

## Properties
size of the total moment: 0.00 Bohr magnetons per cell
energy above the most stable polymorph in this dataset: 26.3 kJ per mole of atoms
D(E_F): 1.499 states/eV/atom

Cell: 8.820 8.820 8.820 Å, 22.02 22.02 22.02°
Positions (direct):
Pa: 0.249 0.249 0.249
Pa: 0.751 0.751 0.751
Tc: 0.500 0.500 0.500
Mo: 0.000 0.000 0.000

---

# 2
Material: Ba2TmTl
Method: DFT, PBE
State: relaxed

## Properties
size of the total moment: 0.00 Bohr magnetons per cell
raw total energy: -0.1795 Ry/atom
D(E_F): 1.270 states/eV/atom

Cell: 13.044 13.044 13.044 Å, 17.00 17.00 17.00°
Positions (direct):
Ba: 0.093 0.093 0.093
Ba: 0.907 0.907 0.907
Tm: 0.000 0.000 0.000
Tl: 0.500 0.500 0.500

---

# 3
Material: ErSbS4
Method: DFT, PBE
State: relaxed

## Properties
size of the total moment: 0.00 Bohr magnetons per cell
energy relative to the elements, uncorrected: -0.77 eV per atom
D(E_F): 0.166 states/eV/atom

Cell: 7.871 7.871 6.202 Å, 108.27 108.27 117.33°
Positions (direct):
Er: 0.133 0.867 0.750
Er: 0.867 0.133 0.250
Sb: 0.407 0.593 0.250
Sb: 0.593 0.407 0.750
S: 0.108 0.547 0.335
S: 0.211 0.278 0.754
S: 0.278 0.211 0.254
S: 0.453 0.892 0.165
S: 0.547 0.108 0.835
S: 0.722 0.789 0.746
S: 0.789 0.722 0.246
S: 0.892 0.453 0.665

---

> Which value of D(E_F) does entry 1 give?

1.499 states/eV/atom

---

> Which formula does entry 1 have?

Pa2TcMo